[1]
## Mn2FeB2 (PBE)

Data for a relaxed structure of Mn2FeB2.

It has space group P4/mbm (No. 127), with a = 5.433 Å, b = 5.433 Å, c = 2.973 Å, α = 90.00°, β = 90.00° and γ = 90.00°. The asymmetric unit holds Mn at (0.172, 0.328, 0.000), Fe at (0.000, 0.000, 0.500) and B at (0.119, 0.619, 0.500).

The magnetization comes out at 10.44 Bohr magnetons per cell. Its crystal system is tetragonal. The energy comes out at -8.4107 eV per atom. For the energy relative to the lowest polymorph listed for this composition, the calculation gives 0.000 eV/f.u. The energy of formation from the pure elements is -37 kJ per mole of atoms.

=====

[2]
## CaPaHgAu (PBE)

Data for a relaxed structure of CaPaHgAu.

It has space group F-43m (No. 216), with a = 7.359 Å, b = 7.359 Å, c = 7.359 Å, α = 90.00°, β = 90.00° and γ = 90.00°. The asymmetric unit holds Ca at (0.000, 0.000, 0.000), Pa at (0.000, 0.000, 0.500), Hg at (0.250, 0.250, 0.750) and Au at (0.250, 0.250, 0.250).

The magnetization comes out at 2.16 Bohr magnetons per cell. Its crystal system is cubic. The energy comes out at -3.9933 eV per atom. The energy of formation from the pure elements is -22 kJ per mole of atoms.